1.
# CsNaTmBr5

A geometry-optimized CsNaTmBr5 structure (PBE, the Alexandria database).

Unit cell a=9.491 b=13.603 c=10.782 alpha=90.00 beta=110.27 gamma=90.00
Space group C2/c (No. 15)
Asymmetric unit:
Cs (0.000, 0.164, 0.250) [4 per cell]
Na (0.000, 0.186, 0.750) [4 per cell]
Tm (0.000, 0.500, 0.000) [4 per cell]
Br (0.000, 0.441, 0.250) [4 per cell]
Br (0.091, 0.310, 0.579) [8 per cell]
Br (0.203, 0.055, 0.936) [8 per cell]

Properties
Its formation energy (no corrections) is -1.777 eV per atom. As for the magnetic moment: 0.000 μB/atom. The uncorrected energy is -116.9 eV for the cell shown.

2.
# Cs3Na2TmBr8

A geometry-optimized Cs3Na2TmBr8 structure (PBE, the Alexandria database).

Unit cell a=7.9798 b=7.9798 c=10.7450 alpha=90.00 beta=90.00 gamma=120.00
Space group P-3m1 (No. 164)
Asymmetric unit:
Cs (0.0000, 0.0000, 0.0000) [1 per cell]
Cs (0.3333, 0.6667, 0.6257) [2 per cell]
Na (0.3333, 0.6667, 0.1928) [2 per cell]
Tm (0.0000, 0.0000, 0.5000) [1 per cell]
Br (0.1607, 0.3213, 0.3469) [6 per cell]
Br (0.3333, 0.6667, 0.9433) [2 per cell]

Properties
Its formation energy (no corrections) is -1.714 eV per atom. As for the magnetic moment: 0.000 μB/atom. The uncorrected energy is -47.0 eV for the cell shown.

3.
# Cs3Na2UBr9

A geometry-optimized Cs3Na2UBr9 structure (PBE, the Alexandria database).

Unit cell a=8.2194 b=8.2194 c=10.2576 alpha=90.00 beta=90.00 gamma=120.00
Space group P-3m1 (No. 164)
Asymmetric unit:
Cs (0.0000, 0.0000, 0.0000) [1 per cell]
Cs (0.3333, 0.6667, 0.7294) [2 per cell]
Na (0.3333, 0.6667, 0.1479) [2 per cell]
U (0.0000, 0.0000, 0.5000) [1 per cell]
Br (0.0000, 0.5000, 0.0000) [3 per cell]
Br (0.1597, 0.3194, 0.3426) [6 per cell]

Properties
Its formation energy (no corrections) is -1.589 eV per atom. As for the magnetic moment: 0.133 μB/atom. The uncorrected energy is -55.4 eV for the cell shown.